[1]
First-principles (PBE) data for crystalline KRu2Br at its relaxed geometry, as listed in the Alexandria database.

Lattice parameters (Å, degrees): 4.7556 4.7556 4.7556 119.96 119.96 90.06
Element x y z (fractional)
Ru1 0.0000 0.0000 0.0000
Ru2 0.2500 0.7500 0.5000
K1 0.7500 0.2500 0.5000
Br1 0.5000 0.5000 0.0000

Properties
- uncorrected formation energy (meV per atom) = 1175
- offset from the most stable computed form (eV/atom) = 0.861
- space-group type = I-4m2, No. 119

[2]
First-principles (PBE) data for crystalline ErTeS4 at its relaxed geometry, as listed in the Alexandria database.

Lattice parameters (Å, degrees): 6.8462 6.7295 6.2164 90.00 96.62 90.00
Element x y z (fractional)
S1 0.2573 0.2802 0.2860
S2 0.2427 0.7802 0.7140
S3 0.3563 0.8371 0.1426
S4 0.7427 0.7198 0.7140
S5 0.6437 0.1629 0.8574
S6 0.7573 0.2198 0.2860
S7 0.8563 0.6629 0.1426
S8 0.1437 0.3371 0.8574
Er1 0.0000 0.0000 0.0000
Er2 0.5000 0.5000 0.0000
Te1 0.0000 0.5000 0.5000
Te2 0.5000 0.0000 0.5000

Properties
- uncorrected formation energy (meV per atom) = -596
- space-group type = P2_1/c, No. 14

[3]
First-principles (PBE) data for crystalline Pr3Hg2Au6 at its relaxed geometry, as listed in the Alexandria database.

Lattice parameters (Å, degrees): 4.3298 4.3298 14.5997 98.53 98.53 90.00
Element x y z (fractional)
Au1 0.3833 0.8833 0.7665
Au2 0.1167 0.6167 0.2335
Au3 0.3118 0.3118 0.6237
Au4 0.8833 0.3833 0.7665
Au5 0.6167 0.1167 0.2335
Au6 0.6882 0.6882 0.3763
Hg1 0.5508 0.5508 0.1016
Hg2 0.4492 0.4492 0.8984
Pr1 0.2010 0.2010 0.4019
Pr2 0.0000 0.0000 0.0000
Pr3 0.7990 0.7990 0.5981

Properties
- formation enthalpy at 0 K (eV/atom) = -0.481
- space-group type = I4/mmm, No. 139

[4]
First-principles (PBE) data for crystalline In3PbF9 at its relaxed geometry, as listed in the Alexandria database.

Lattice parameters (Å, degrees): 6.0353 8.2853 8.9696 90.00 92.38 90.00
Element x y z (fractional)
F1 0.0944 0.2500 0.9744
F2 0.6711 0.7500 0.3438
F3 0.1208 0.5633 0.7827
F4 0.1208 0.9367 0.7827
F5 0.9056 0.7500 0.0256
F6 0.7430 0.4613 0.5299
F7 0.2570 0.5387 0.4701
F8 0.3126 0.9439 0.0981
F9 0.4064 0.2500 0.3063
F10 0.2570 0.9613 0.4701
F11 0.5936 0.7500 0.6937
F12 0.3289 0.2500 0.6562
F13 0.8792 0.4367 0.2173
F14 0.6874 0.0561 0.9019
F15 0.6874 0.4439 0.9019
F16 0.7430 0.0387 0.5299
F17 0.8792 0.0633 0.2173
F18 0.3126 0.5561 0.0981
In1 0.0000 0.5000 0.0000
In2 0.4702 0.0066 0.7059
In3 0.5298 0.9934 0.2941
In4 0.0000 0.0000 0.0000
In5 0.5298 0.5066 0.2941
In6 0.4702 0.4934 0.7059
Pb1 0.0363 0.2500 0.4363
Pb2 0.9637 0.7500 0.5637

Properties
- uncorrected formation energy (meV per atom) = -2268
- space-group type = P2_1/m, No. 11

[5]
First-principles (PBE) data for crystalline PuNpSe3 at its relaxed geometry, as listed in the Alexandria database.

Lattice parameters (Å, degrees): 5.4131 6.8216 9.1354 111.92 90.00 90.00
Element x y z (fractional)
Se1 0.5000 0.0000 0.5000
Se2 0.5000 0.7294 0.0000
Se3 0.0000 0.8613 0.7225
Se4 0.5000 0.2706 0.0000
Se5 0.5000 0.5000 0.5000
Se6 0.0000 0.1387 0.2775
Np1 0.5000 0.8830 0.7660
Np2 0.5000 0.1170 0.2340
Pu1 0.0000 0.6939 0.3877
Pu2 0.0000 0.3061 0.6123

Properties
- uncorrected formation energy (meV per atom) = -946
- offset from the most stable computed form (eV/atom) = 0.414
- space-group type = Cmmm, No. 65

[6]
First-principles (PBE) data for crystalline Hg2HPd6Se at its relaxed geometry, as listed in the Alexandria database.

Lattice parameters (Å, degrees): 5.7292 5.7292 12.5149 76.77 76.77 60.00
Element x y z (fractional)
Hg1 0.2947 0.2947 0.1160
Hg2 0.1319 0.1319 0.6042
Hg3 0.7053 0.7053 0.8840
Hg4 0.8681 0.8681 0.3958
Pd1 0.1294 0.6357 0.5993
Pd2 0.8024 0.8024 0.0971
Pd3 0.8024 0.2980 0.0971
Pd4 0.1976 0.7020 0.9029
Pd5 0.8706 0.3643 0.4007
Pd6 0.1976 0.1976 0.9029
Pd7 0.7020 0.1976 0.9029
Pd8 0.2980 0.8024 0.0971
Pd9 0.3643 0.8706 0.4007
Pd10 0.6357 0.1294 0.5993
Pd11 0.3643 0.3643 0.4007
Pd12 0.6357 0.6357 0.5993
Se1 0.4158 0.4158 0.7525
Se2 0.5842 0.5842 0.2475
H1 0.5000 0.5000 0.5000
H2 0.0000 0.0000 0.0000

Properties
- energy (eV for the cell shown) = -78.60
- space-group type = R-3m, No. 166

[7]
First-principles (PBE) data for crystalline Cd2SeO at its relaxed geometry, as listed in the Alexandria database.

Lattice parameters (Å, degrees): 4.6402 4.6402 4.6402 60.00 60.00 60.00
Element x y z (fractional)
Cd1 0.7500 0.7500 0.7500
Cd2 0.2500 0.2500 0.2500
Se1 0.5000 0.5000 0.5000
O1 0.0000 0.0000 0.0000

Properties
- uncorrected formation energy (meV per atom) = -141
- offset from the most stable computed form (eV/atom) = 0.633
- space-group type = Fm-3m, No. 225

[8]
First-principles (PBE) data for crystalline BaZn2Fe at its relaxed geometry, as listed in the Alexandria database.

Lattice parameters (Å, degrees): 3.5160 3.1480 8.1824 67.22 90.00 90.00
Element x y z (fractional)
Zn1 0.0000 0.0835 0.9173
Zn2 0.0000 0.4165 0.5827
Fe1 0.5000 0.7500 0.7500
Ba1 0.5000 0.2500 0.2500

Properties
- formation enthalpy at 0 K (eV/atom) = 0.232
- space-group type = P2/m, No. 10

[9]
First-principles (PBE) data for crystalline DyNb2N4 at its relaxed geometry, as listed in the Alexandria database.

Lattice parameters (Å, degrees): 3.1401 5.3705 10.3994 90.00 90.00 107.00
Element x y z (fractional)
Nb1 0.8706 0.7412 0.5680
Nb2 0.8706 0.7412 0.9320
Nb3 0.1294 0.2588 0.0680
Nb4 0.1294 0.2588 0.4320
N1 0.2310 0.4619 0.6147
N2 0.2310 0.4619 0.8853
N3 0.7690 0.5381 0.1147
N4 0.7690 0.5381 0.3853
N5 0.5000 0.0000 0.5000
N6 0.9442 0.8883 0.7500
N7 0.0558 0.1117 0.2500
N8 0.5000 0.0000 0.0000
Dy1 0.3842 0.7683 0.2500
Dy2 0.6158 0.2317 0.7500

Properties
- uncorrected formation energy (meV per atom) = -1180
- space-group type = Cmcm, No. 63

[10]
First-principles (PBE) data for crystalline GaFe2Sn at its relaxed geometry, as listed in the Alexandria database.

Lattice parameters (Å, degrees): 5.6610 5.6610 6.8896 65.74 65.74 90.00
Element x y z (fractional)
Fe1 0.8750 0.8417 0.7500
Fe2 0.3750 0.4083 0.7500
Fe3 0.1583 0.6250 0.2500
Fe4 0.5917 0.1250 0.2500
Ga1 0.5000 0.5000 0.0000
Ga2 0.2500 0.7500 0.5000
Sn1 0.0000 0.0000 0.0000
Sn2 0.7500 0.2500 0.5000

Properties
- formation enthalpy at 0 K (eV/atom) = 0.982
- offset from the most stable computed form (eV/atom) = 0.839
- space-group type = I-42d, No. 122

[11]
First-principles (PBE) data for crystalline NpAlAu2 at its relaxed geometry, as listed in the Alexandria database.

Lattice parameters (Å, degrees): 6.7516 4.2990 7.7453 90.00 135.32 90.00
Element x y z (fractional)
Np1 0.8065 0.2500 0.8641
Np2 0.1935 0.7500 0.1359
Al1 0.6995 0.2500 0.3331
Al2 0.3005 0.7500 0.6669
Au1 0.8234 0.7500 0.5812
Au2 0.1766 0.2500 0.4188
Au3 0.2632 0.2500 0.8635
Au4 0.7368 0.7500 0.1365

Properties
- formation enthalpy at 0 K (eV/atom) = -0.229
- space-group type = P2_1/m, No. 11

[12]
First-principles (PBE) data for crystalline Sr2MgZn3Ag12 at its relaxed geometry, as listed in the Alexandria database.

Lattice parameters (Å, degrees): 8.3499 8.3499 8.3499 65.18 65.18 65.18
Element x y z (fractional)
Mg1 0.0000 0.0000 0.0000
Ag1 0.8657 0.8657 0.3593
Ag2 0.3505 0.9862 0.3505
Ag3 0.6407 0.1343 0.1343
Ag4 0.6495 0.0138 0.6495
Ag5 0.0138 0.6495 0.6495
Ag6 0.1343 0.6407 0.1343
Ag7 0.8657 0.3593 0.8657
Ag8 0.3593 0.8657 0.8657
Ag9 0.1343 0.1343 0.6407
Ag10 0.3505 0.3505 0.9862
Ag11 0.6495 0.6495 0.0138
Ag12 0.9862 0.3505 0.3505
Zn1 0.0000 0.5000 0.0000
Zn2 0.0000 0.0000 0.5000
Zn3 0.5000 0.0000 0.0000
Sr1 0.3951 0.3951 0.3951
Sr2 0.6049 0.6049 0.6049

Properties
- formation enthalpy at 0 K (eV/atom) = 0.161
- space-group type = R-3m, No. 166

no.,density of states at the Fermi level (states/eV per cell)
1,4.0
2,3.4
3,5.6
4,6.0
5,41.9
6,10.3
7,3.8
8,3.7
9,2.3
10,10.9
11,12.7
12,3.1